First-principles (PBE) data for an optimized crystal structure of BaAs2P, as listed in Alexandria via LeMat-Bulk.

a = 3.972 Å, b = 3.972 Å, c = 6.454 Å
α = 90.00°, β = 90.00°, γ = 100.68°
Fractional positions:
As: 0.000 0.000 0.935
Ba: 0.500 0.500 0.250
P: 0.500 0.500 0.750
As: 0.000 0.000 0.565

Results
Total moment in μB per formula unit: 0.000
Formation energy in eV per formula unit: -0.321
D(E_F) in states/eV/f.u.: 1.7